# CrOsRh3

An optimized crystal structure of CrOsRh3 (PBE, Alexandria via LeMat-Bulk).

Unit cell a=4.6673 b=4.6673 c=4.6673 alpha=90.00 beta=90.00 gamma=90.00
Closest atoms and distances in Å follow each position.
Sites, in units of the cell vectors:
Cr 0.0000 0.0000 0.0000  12 Rh 3.30
Os 0.5000 0.5000 0.5000  6 Rh 2.33
Rh 0.0000 0.5000 0.5000  2 Os 2.33
Rh 0.5000 0.0000 0.5000  2 Os 2.33
Rh 0.5000 0.5000 0.0000  2 Os 2.33

crystal system: cubic
calculated formation energy: 1393 meV per atom
ρ: 8998 kg/m³
relative energy among the computed polymorphs: 1410 meV/atom
volume: 102 Å³/f.u.
magnetic moment: 4.55 μB/f.u.